1.
First-principles (PBE-GGA) data for a relaxed LaTc2AgPb crystal, as listed in Alexandria.

Summary:
Calculated formation energy, meV/atom: 1297
M_tot, μB/f.u.: 4.11
Density of states at the Fermi level, states/eV per cell: 5.76
DFT total energy, eV/cell: -25.7

a b c (Å): 5.0845 5.1006 5.0845
angles (deg): 90.00 90.00 90.00
Closest atoms and distances in Å follow each position.
Fractional positions:
Pb  0.0000  0.5000  0.0000  2 Ag 2.55
Tc  0.5000  0.0000  0.0000  2 Ag 2.54
Tc  0.0000  0.0000  0.5000  2 Ag 2.54
La  0.5000  0.5000  0.5000  4 Pb 3.60, 8 Tc 3.60
Ag  0.0000  0.0000  0.0000  4 Tc 2.54, 2 Pb 2.55



2.
First-principles (PBE-GGA) data for a relaxed LaThAgPb crystal, as listed in Alexandria.

Summary:
Calculated formation energy, meV/atom: -254
M_tot, μB/f.u.: 0.00
Density of states at the Fermi level, states/eV per cell: 3.64
DFT total energy, eV/cell: -19.9

a b c (Å): 5.4862 5.4862 5.4862
angles (deg): 60.00 60.00 60.00
Closest atoms and distances in Å follow each position.
Fractional positions:
Pb  0.7500  0.7500  0.7500  4 La 3.36, 4 Th 3.36
Th  0.0000  0.0000  0.0000  4 Ag 3.36, 4 Pb 3.36
Ag  0.2500  0.2500  0.2500  4 La 3.36, 4 Th 3.36
La  0.5000  0.5000  0.5000  4 Pb 3.36, 4 Ag 3.36



3.
First-principles (PBE-GGA) data for a relaxed LaTmAgPb crystal, as listed in Alexandria.

Summary:
Calculated formation energy, meV/atom: -392
M_tot, μB/f.u.: 0.57
Density of states at the Fermi level, states/eV per cell: 3.83
DFT total energy, eV/cell: -17.5

a b c (Å): 5.3989 5.3989 5.3989
angles (deg): 60.00 60.00 60.00
Closest atoms and distances in Å follow each position.
Fractional positions:
Tm  0.0000  0.0000  0.0000  4 Pb 3.31, 4 Ag 3.31
Ag  0.2500  0.2500  0.2500  4 Tm 3.31, 4 La 3.31
Pb  0.7500  0.7500  0.7500  4 La 3.31, 4 Tm 3.31
La  0.5000  0.5000  0.5000  4 Pb 3.31, 4 Ag 3.31



4.
First-principles (PBE-GGA) data for a relaxed LaZnAgPb crystal, as listed in Alexandria.

Summary:
Calculated formation energy, meV/atom: -302
M_tot, μB/f.u.: 0.00
Density of states at the Fermi level, states/eV per cell: 1.45
DFT total energy, eV/cell: -14.0

a b c (Å): 5.1755 5.1755 5.1755
angles (deg): 60.00 60.00 60.00
Closest atoms and distances in Å follow each position.
Fractional positions:
Zn  0.7500  0.7500  0.7500  4 La 3.17, 4 Pb 3.17
Ag  0.2500  0.2500  0.2500  4 La 3.17, 4 Pb 3.17
La  0.0000  0.0000  0.0000  4 Zn 3.17, 4 Ag 3.17
Pb  0.5000  0.5000  0.5000  4 Ag 3.17, 4 Zn 3.17



5.
First-principles (PBE-GGA) data for a relaxed La6Ag2Pd crystal, as listed in Alexandria.

Summary:
Calculated formation energy, meV/atom: -229
Energy above the lowest structure with this stoichiometry, eV per atom: 0.0503
M_tot, μB/f.u.: 0.00
Density of states at the Fermi level, states/eV per cell: 24.12
DFT total energy, eV/cell: -85.0

a b c (Å): 6.5478 8.0620 10.8371
angles (deg): 90.00 92.57 90.00
Closest atoms and distances in Å follow each position.
Fractional positions:
Ag  0.0944  0.6111  0.2284  7 La 3.18-3.50
Ag  0.9056  0.3889  0.7716  7 La 3.18-3.50
Ag  0.4056  0.1111  0.2716  7 La 3.18-3.50
Ag  0.5944  0.8889  0.7284  7 La 3.18-3.50
Pd  0.5000  0.5000  0.0000  6 La 2.92-2.99
Pd  0.0000  0.0000  0.5000  6 La 2.92-2.99
La  0.1490  0.3434  0.4533  1 Pd 2.99, 2 Ag 3.24-3.26
La  0.8510  0.6566  0.5467  1 Pd 2.99, 2 Ag 3.24-3.26
La  0.6490  0.1566  0.9533  1 Pd 2.99, 2 Ag 3.24-3.26
La  0.3510  0.8434  0.0467  1 Pd 2.99, 2 Ag 3.24-3.26
La  0.1444  0.0401  0.7572  1 Pd 2.92, 2 Ag 3.22
La  0.8553  0.7064  0.9423  1 Pd 2.95, 2 Ag 3.18
La  0.1447  0.2936  0.0577  1 Pd 2.95, 2 Ag 3.18
La  0.6447  0.2064  0.5577  1 Pd 2.95, 2 Ag 3.18
La  0.3553  0.7936  0.4423  1 Pd 2.95, 2 Ag 3.18
La  0.3556  0.5401  0.7428  1 Pd 2.92, 2 Ag 3.22
La  0.6444  0.4599  0.2572  1 Pd 2.92, 2 Ag 3.22
La  0.8556  0.9599  0.2428  1 Pd 2.92, 2 Ag 3.22



6.
First-principles (PBE-GGA) data for a relaxed La8AgPd2 crystal, as listed in Alexandria.

Summary:
Calculated formation energy, meV/atom: -239
M_tot, μB/f.u.: 0.00
Density of states at the Fermi level, states/eV per cell: 14.48
DFT total energy, eV/cell: -55.3

a b c (Å): 5.9962 8.2846 8.2846
angles (deg): 116.39 99.87 99.87
Closest atoms and distances in Å follow each position.
Fractional positions:
Pd  0.5002  0.2931  0.7138  6 La 2.98-3.11
Pd  0.5002  0.7138  0.2931  6 La 2.98-3.11
La  0.8088  0.6068  0.6068  1 Ag 3.27, 6 La 3.35-3.61, 2 Pd 3.45
La  0.5800  0.1015  0.3368  2 Pd 2.98-3.01, 1 La 3.31
La  0.5800  0.3368  0.1015  2 Pd 2.98-3.01, 1 La 3.31
La  0.0000  0.2330  0.7721  2 Pd 3.11, 1 Ag 3.24
La  0.4197  0.9047  0.6701  2 Pd 2.98-3.01, 1 La 3.30
La  0.1904  0.3990  0.3990  1 Ag 3.27, 6 La 3.35-3.62, 2 Pd 3.46
La  0.4197  0.6701  0.9047  2 Pd 2.98-3.01, 1 La 3.30
La  0.0000  0.7721  0.2330  2 Pd 3.11, 1 Ag 3.24
Ag  0.0006  0.0031  0.0031  4 La 3.24-3.27



7.
First-principles (PBE-GGA) data for a relaxed La3Ag3Pd2 crystal, as listed in Alexandria.

Summary:
Calculated formation energy, meV/atom: -514
M_tot, μB/f.u.: 0.00
Density of states at the Fermi level, states/eV per cell: 10.43
DFT total energy, eV/cell: -75.7

a b c (Å): 4.1833 5.7163 17.7814
angles (deg): 90.00 90.00 111.46
Closest atoms and distances in Å follow each position.
Fractional positions:
La  0.0666  0.1333  0.6033  3 Pd 3.08-3.11, 7 Ag 3.23-3.38
La  0.3316  0.6632  0.7500  3 Ag 3.00-3.12, 4 Pd 3.12
La  0.9334  0.8667  0.3967  3 Pd 3.08-3.11, 7 Ag 3.23-3.38
La  0.6684  0.3368  0.2500  3 Ag 3.00-3.12, 4 Pd 3.12
La  0.9334  0.8667  0.1033  3 Pd 3.08-3.11, 7 Ag 3.23-3.38
La  0.0666  0.1333  0.8967  3 Pd 3.08-3.11, 7 Ag 3.23-3.38
Ag  0.3575  0.7150  0.9728  3 Pd 2.84-3.04
Ag  0.6425  0.2850  0.0272  3 Pd 2.84-3.04
Ag  0.3864  0.7727  0.2500  2 Pd 2.84, 3 La 3.00-3.12
Ag  0.6136  0.2273  0.7500  2 Pd 2.84, 3 La 3.00-3.12
Ag  0.6425  0.2850  0.4728  3 Pd 2.84-3.04
Ag  0.3575  0.7150  0.5272  3 Pd 2.84-3.04
Pd  0.7765  0.5531  0.8763  4 Ag 2.84-3.04, 5 La 3.08-3.12
Pd  0.2235  0.4469  0.1237  4 Ag 2.84-3.04, 5 La 3.08-3.12
Pd  0.2235  0.4469  0.3763  4 Ag 2.84-3.04, 5 La 3.08-3.12
Pd  0.7765  0.5531  0.6237  4 Ag 2.84-3.04, 5 La 3.08-3.12



8.
First-principles (PBE-GGA) data for a relaxed La5AgPd2 crystal, as listed in Alexandria.

Summary:
Calculated formation energy, meV/atom: -455
M_tot, μB/f.u.: 0.61
Density of states at the Fermi level, states/eV per cell: 21.68
DFT total energy, eV/cell: -83.0

a b c (Å): 8.2635 8.2635 8.9787
angles (deg): 117.40 117.40 90.00
Closest atoms and distances in Å follow each position.
Fractional positions:
Ag  0.7500  0.7500  0.5000  10 La 3.41-3.43
Ag  0.2500  0.2500  0.5000  10 La 3.41-3.43
Pd  0.6294  0.1294  0.0000  1 Pd 3.02, 8 La 3.10-3.24
Pd  0.1294  0.3706  0.0000  1 Pd 3.02, 8 La 3.10-3.24
Pd  0.8706  0.6294  0.0000  1 Pd 3.02, 8 La 3.10-3.24
Pd  0.3706  0.8706  0.0000  1 Pd 3.02, 8 La 3.10-3.24
La  0.9814  0.4814  0.2846  3 Pd 3.10-3.13, 2 Ag 3.43
La  0.0000  0.0000  0.0000  4 Pd 3.24, 2 Ag 3.41
La  0.8032  0.9814  0.2846  3 Pd 3.10-3.13, 2 Ag 3.43
La  0.3032  0.8032  0.2846  3 Pd 3.10-3.13, 2 Ag 3.43
La  0.1968  0.0186  0.7154  3 Pd 3.10-3.13, 2 Ag 3.43
La  0.4814  0.3032  0.2846  3 Pd 3.10-3.13, 2 Ag 3.43
La  0.6968  0.1968  0.7154  3 Pd 3.10-3.13, 2 Ag 3.43
La  0.5000  0.5000  0.0000  4 Pd 3.24, 2 Ag 3.41
La  0.0186  0.5186  0.7154  3 Pd 3.10-3.13, 2 Ag 3.43
La  0.5186  0.6968  0.7154  3 Pd 3.10-3.13, 2 Ag 3.43



9.
First-principles (PBE-GGA) data for a relaxed LaAgPd crystal, as listed in Alexandria.

Summary:
Calculated formation energy, meV/atom: -378
Energy above the lowest structure with this stoichiometry, eV per atom: 0.2274
M_tot, μB/f.u.: 0.00
Density of states at the Fermi level, states/eV per cell: 3.63
DFT total energy, eV/cell: -28.2

a b c (Å): 5.3258 4.0078 7.6285
angles (deg): 74.77 90.00 90.00
Closest atoms and distances in Å follow each position.
Fractional positions:
Pd  0.0000  0.0000  0.0000  2 Pd 2.66, 2 Ag 2.82, 4 La 2.96
Pd  0.5000  0.0000  0.0000  2 Pd 2.66, 2 Ag 2.82, 4 La 2.96
La  0.2500  0.3831  0.2338  4 Pd 2.96, 1 Ag 3.15
La  0.7500  0.6169  0.7662  4 Pd 2.96, 1 Ag 3.15
Ag  0.7500  0.8309  0.3381  2 Pd 2.82, 1 La 3.15
Ag  0.2500  0.1691  0.6619  2 Pd 2.82, 1 La 3.15



10.
First-principles (PBE-GGA) data for a relaxed LaAgPd crystal, as listed in Alexandria.

Summary:
Calculated formation energy, meV/atom: -539
Energy above the lowest structure with this stoichiometry, eV per atom: 0.0673
M_tot, μB/f.u.: 0.00
Density of states at the Fermi level, states/eV per cell: 0.82
DFT total energy, eV/cell: -14.6

a b c (Å): 3.7419 4.7002 4.7002
angles (deg): 120.00 90.00 90.00
Closest atoms and distances in Å follow each position.
Fractional positions:
Pd  0.1669  0.0000  0.0000  3 Ag 2.71
Ag  0.1665  0.3333  0.6667  3 Pd 2.71
La  0.6666  0.6667  0.3333  6 Pd 3.30, 6 Ag 3.30



11.
First-principles (PBE-GGA) data for a relaxed La6Ag2Pd crystal, as listed in Alexandria.

Summary:
Calculated formation energy, meV/atom: -279
Energy above the lowest structure with this stoichiometry, eV per atom: 0.0000
M_tot, μB/f.u.: 0.00
Density of states at the Fermi level, states/eV per cell: 14.41
DFT total energy, eV/cell: -43.0

a b c (Å): 3.8777 8.9791 8.9791
angles (deg): 120.05 90.00 90.00
Closest atoms and distances in Å follow each position.
Fractional positions:
Ag  0.0000  0.6666  0.3329  9 La 3.34-3.41
Ag  0.0000  0.3329  0.6666  9 La 3.34-3.41
La  0.0000  0.7471  0.7471  2 Pd 2.99
La  0.0000  0.0001  0.2530  2 Pd 2.99
La  0.5000  0.4075  0.4075  4 Ag 3.34, 6 La 3.61-3.74, 1 Pd 3.65
La  0.0000  0.2530  0.0001  2 Pd 2.99
La  0.5000  0.5930  0.9994  4 Ag 3.34, 6 La 3.62-3.74, 1 Pd 3.65
La  0.5000  0.9994  0.5930  4 Ag 3.34, 6 La 3.62-3.74, 1 Pd 3.65
Pd  0.5000  0.0003  0.0003  6 La 2.99